[1]
Here is a relaxed ZnRh2Se crystal from the Alexandria database. Energies are from GGA-PBEsol.

**Total DFT energy (no corrections)**: -0.38620 Ry/atom
**M_tot**: 0.00 μB per cell

a b c (Å): 4.346 4.346 4.346
angles (deg): 60.00 60.00 60.00
Fractional positions:
1 Rh 0.000 0.000 0.000
2 Rh 0.750 0.750 0.750
3 Se 0.500 0.500 0.500
4 Zn 0.250 0.250 0.250

[2]
Here is a relaxed ZnRh2Se crystal from the Alexandria database. Energies are from GGA-PBEsol.

**Total DFT energy (no corrections)**: -0.40857 Ry/atom
**M_tot**: 0.00 μB per cell

a b c (Å): 3.387 3.387 5.099
angles (deg): 90.00 90.00 90.00
Fractional positions:
1 Rh 0.000 0.000 0.961
2 Rh 0.500 0.500 0.292
3 Se 0.000 0.000 0.450
4 Zn 0.500 0.500 0.797

[3]
Here is a relaxed Zr3RhSe crystal from the Alexandria database. Energies are from GGA-PBEsol.

**Total DFT energy (no corrections)**: -0.57040 Ry/atom
**M_tot**: 0.00 μB per cell

a b c (Å): 4.948 4.948 4.948
angles (deg): 90.00 90.00 90.00
Fractional positions:
1 Rh 0.000 0.000 0.000
2 Se 0.500 0.500 0.500
3 Zr 0.000 0.500 0.000
4 Zr 0.000 0.000 0.500
5 Zr 0.500 0.000 0.000

[4]
Here is a relaxed SiRh crystal from the Alexandria database. Energies are from GGA-PBEsol.

**Total DFT energy (no corrections)**: -0.55258 Ry/atom
**M_tot**: 0.00 μB per cell

a b c (Å): 2.835 5.356 5.488
angles (deg): 103.66 104.97 90.00
Fractional positions:
1 Rh 0.343 0.663 0.685
2 Rh 0.650 0.278 0.299
3 Rh 0.612 0.751 0.224
4 Si 0.988 0.980 0.976
5 Si 0.964 0.423 0.928
6 Si 0.277 0.072 0.554

[5]
Here is a relaxed SiRh crystal from the Alexandria database. Energies are from GGA-PBEsol.

**Total DFT energy (no corrections)**: -0.57535 Ry/atom
**M_tot**: 0.00 μB per cell

a b c (Å): 4.671 4.671 4.671
angles (deg): 90.00 90.00 90.00
Fractional positions:
1 Rh 0.153 0.153 0.153
2 Rh 0.347 0.847 0.653
3 Rh 0.847 0.653 0.347
4 Rh 0.653 0.347 0.847
5 Si 0.842 0.842 0.842
6 Si 0.658 0.158 0.342
7 Si 0.158 0.342 0.658
8 Si 0.342 0.658 0.158

[6]
Here is a relaxed SiRh crystal from the Alexandria database. Energies are from GGA-PBEsol.

**Total DFT energy (no corrections)**: -0.57546 Ry/atom
**M_tot**: 0.00 μB per cell

a b c (Å): 3.056 5.536 6.370
angles (deg): 90.00 90.00 90.00
Fractional positions:
1 Rh 0.750 0.497 0.798
2 Rh 0.250 0.003 0.298
3 Rh 0.250 0.503 0.202
4 Rh 0.750 0.997 0.702
5 Si 0.750 0.315 0.444
6 Si 0.250 0.185 0.944
7 Si 0.250 0.685 0.556
8 Si 0.750 0.815 0.056